Entry 1:
# GGA-PBE TlZnSi, optimized geometry
data_TlZnSi
_symmetry_space_group_name_H-M 'P 3 m 1'
_symmetry_Int_Tables_number 156
_symmetry_space_group_name_Hall 'P 3 -2"'
_cell_length_a 4.2071
_cell_length_b 4.2071
_cell_length_c 4.4940
_cell_angle_alpha 90.00
_cell_angle_beta 90.00
_cell_angle_gamma 120.00
loop_
_atom_site_label
_atom_site_type_symbol
_atom_site_fract_x
_atom_site_fract_y
_atom_site_fract_z
Tl1 Tl 0.0000 0.0000 0.0000
Zn1 Zn 0.6667 0.3333 0.5008
Si1 Si 0.3333 0.6667 0.4989
# E_form (uncorrected) in eV/f.u.: 0.9
# Energy relative to the lowest polymorph listed for this composition in eV per atom: 0.0000

Entry 2:
# GGA-PBE K3NaCa, optimized geometry
data_K3NaCa
_symmetry_space_group_name_H-M 'P m -3 m'
_symmetry_Int_Tables_number 221
_symmetry_space_group_name_Hall '-P 4 2 3'
_cell_length_a 6.883
_cell_length_b 6.883
_cell_length_c 6.883
_cell_angle_alpha 90.00
_cell_angle_beta 90.00
_cell_angle_gamma 90.00
loop_
_atom_site_label
_atom_site_type_symbol
_atom_site_fract_x
_atom_site_fract_y
_atom_site_fract_z
K1 K 0.000 0.000 0.500
Na1 Na 0.000 0.000 0.000
Ca1 Ca 0.500 0.500 0.500
# Energy relative to the elements in meV per atom: 288
# Energy relative to the lowest polymorph listed for this composition in eV per atom: 0.0000

Entry 3:
# GGA-PBE HoCo12Ge6, optimized geometry
data_HoCo12Ge6
_symmetry_space_group_name_H-M 'R -3 m'
_symmetry_Int_Tables_number 166
_symmetry_space_group_name_Hall '-R 3 2"'
_cell_length_a 10.5838
_cell_length_b 10.5838
_cell_length_c 7.9603
_cell_angle_alpha 90.00
_cell_angle_beta 90.00
_cell_angle_gamma 120.00
loop_
_atom_site_label
_atom_site_type_symbol
_atom_site_fract_x
_atom_site_fract_y
_atom_site_fract_z
Ho1 Ho 0.0000 0.0000 0.0000
Co1 Co 0.0000 0.3769 0.5000
Co2 Co 0.0821 0.1642 0.3447
Ge1 Ge 0.0288 0.5144 0.2650
# Energy relative to the elements in meV per atom: -53

Entry 4:
# GGA-PBE Sr2Cd2Ag5, optimized geometry
data_Sr2Cd2Ag5
_symmetry_space_group_name_H-M 'C 1 2/m 1'
_symmetry_Int_Tables_number 12
_symmetry_space_group_name_Hall '-C 2y'
_cell_length_a 15.028
_cell_length_b 4.348
_cell_length_c 7.576
_cell_angle_alpha 90.00
_cell_angle_beta 104.12
_cell_angle_gamma 90.00
loop_
_atom_site_label
_atom_site_type_symbol
_atom_site_fract_x
_atom_site_fract_y
_atom_site_fract_z
Sr1 Sr 0.163 0.000 0.104
Cd1 Cd 0.083 0.500 0.386
Ag1 Ag 0.000 0.500 0.000
Ag2 Ag 0.116 0.500 0.763
Ag3 Ag 0.206 0.000 0.596
# Energy relative to the elements in meV per atom: -85